The following is a PBE-GGA calculation of crystalline Li2MgCo at its relaxed geometry, from the Alexandria database.

Computed properties:
magnetization = 1.15 μB/f.u.
DFT formation energy = 0.179 eV per atom

Lattice parameters (Å, degrees): 2.736 3.943 5.744 90.00 90.00 90.00
Space group Pmm2 (No. 25)
One atom of each set of equivalent atoms:
1 Li 0.000 0.000 0.000
2 Li 0.500 0.500 0.251
3 Mg 0.000 0.000 0.547
4 Co 0.500 0.500 0.766